# 1
DFT (PBEsol) results for crystalline ScRe2Tc at its relaxed geometry.

- E above lowest polymorph: 0.060 eV per atom
- Final energy: -11.17 eV per atom
- Space-group type: Imm2, No. 44
- E_form: -0.03 eV/atom
- D(E_F): 3.02 states/eV/f.u.

Lattice parameters (Å, degrees): 5.1908 5.1908 5.1908 145.34 129.22 62.95
Last column: nearest neighbours and their distance in Å.
Fractional positions:
Sc 0.0000 0.0000 0.0000  6 Re 2.71-2.77, 2 Tc 2.74
Re 0.2596 0.7596 0.5000  2 Re 2.63, 4 Tc 2.71, 2 Sc 2.77
Re 0.5003 0.5003 0.0000  2 Re 2.63, 2 Tc 2.65, 4 Sc 2.71
Tc 0.7440 0.2440 0.5000  6 Re 2.65-2.71, 2 Sc 2.74



# 2
DFT (PBEsol) results for crystalline ScReTe2 at its relaxed geometry.

- E above lowest polymorph: 0.516 eV per atom
- Final energy: -6.37 eV per atom
- Space-group type: R-3m, No. 166
- Energy relative to the elements, uncorrected: 0.373 eV/atom
- D(E_F): 3.80 states/eV/f.u.

Lattice parameters (Å, degrees): 9.6539 9.6539 9.6539 19.22 19.22 19.22
Last column: nearest neighbours and their distance in Å.
Fractional positions:
Sc 0.0000 0.0000 0.0000  6 Te 2.88
Re 0.5000 0.5000 0.5000  2 Te 2.54
Te 0.4105 0.4105 0.4105  1 Re 2.54
Te 0.5895 0.5895 0.5895  1 Re 2.54



# 3
DFT (PBEsol) results for crystalline Sc2ReTe at its relaxed geometry.

- Final energy: -7.06 eV per atom
- Space-group type: R-3m, No. 166
- Energy relative to the elements, uncorrected: 0.461 eV/atom
- D(E_F): 5.94 states/eV/f.u.

Lattice parameters (Å, degrees): 10.1337 10.1337 10.1337 17.40 17.40 17.40
Last column: nearest neighbours and their distance in Å.
Fractional positions:
Sc 0.0844 0.0844 0.0844  1 Re 2.53
Sc 0.9156 0.9156 0.9156  1 Re 2.53
Re 0.0000 0.0000 0.0000  2 Sc 2.53
Te 0.5000 0.5000 0.5000  6 Sc 3.03, 6 Te 3.07



# 4
DFT (PBEsol) results for crystalline ScReTe4 at its relaxed geometry.

- Final energy: -4.52 eV per atom
- Space-group type: F-43m, No. 216
- Energy relative to the elements, uncorrected: 1.157 eV/atom
- D(E_F): 6.33 states/eV/f.u.

Lattice parameters (Å, degrees): 6.0401 6.0401 6.0401 60.00 60.00 60.00
Last column: nearest neighbours and their distance in Å.
Fractional positions:
Sc 0.0000 0.0000 0.0000  12 Te 3.54, 4 Re 3.70
Re 0.7500 0.7500 0.7500  12 Te 3.54, 4 Sc 3.70
Te 0.3756 0.3756 0.3756  6 Te 3.00-3.04
Te 0.3756 0.3756 0.8731  6 Te 3.00-3.04
Te 0.3756 0.8731 0.3756  6 Te 3.00-3.04
Te 0.8731 0.3756 0.3756  6 Te 3.00-3.04



# 5
DFT (PBEsol) results for crystalline ScReTe2 at its relaxed geometry.

- E above lowest polymorph: 0.037 eV per atom
- Final energy: -6.85 eV per atom
- Space-group type: Pmm2, No. 25
- Energy relative to the elements, uncorrected: -0.106 eV/atom
- D(E_F): 3.07 states/eV/f.u.

Lattice parameters (Å, degrees): 3.4669 5.1066 4.5957 90.00 90.00 90.00
Last column: nearest neighbours and their distance in Å.
Fractional positions:
Sc 0.0000 0.0000 0.0000  6 Te 2.77-2.97
Re 0.5000 0.5000 0.2562  6 Te 2.75-2.92
Te 0.0000 0.5000 0.7689  2 Sc 2.77, 4 Re 2.83-2.92
Te 0.5000 0.0000 0.4763  2 Re 2.75, 4 Sc 2.79-2.97



# 6
DFT (PBEsol) results for crystalline ScReTe2 at its relaxed geometry.

- E above lowest polymorph: 0.000 eV per atom
- Final energy: -6.89 eV per atom
- Space-group type: Cm, No. 8
- Energy relative to the elements, uncorrected: -0.143 eV/atom
- D(E_F): 1.45 states/eV/f.u.

Lattice parameters (Å, degrees): 5.0734 5.0734 5.0150 102.92 102.92 39.76
Last column: nearest neighbours and their distance in Å.
Fractional positions:
Sc 0.0000 0.0000 0.0000  5 Te 2.71-3.01, 1 Re 3.03
Re 0.7728 0.7728 0.3331  5 Te 2.74-2.90, 1 Sc 3.03
Te 0.2632 0.2632 0.8824  3 Sc 2.71-2.79, 2 Re 2.83
Te 0.4998 0.4998 0.4922  3 Re 2.74-2.90, 2 Sc 3.01



# 7
DFT (PBEsol) results for crystalline ScTlRe2 at its relaxed geometry.

- E above lowest polymorph: 0.200 eV per atom
- Final energy: -8.46 eV per atom
- Space-group type: I4/mmm, No. 139
- E_form: 0.51 eV/atom
- D(E_F): 4.34 states/eV/f.u.

Lattice parameters (Å, degrees): 5.2767 5.2767 5.2767 136.53 136.53 63.15
Last column: nearest neighbours and their distance in Å.
Fractional positions:
Sc 0.0000 0.0000 0.0000  4 Tl 2.76, 8 Re 2.98
Tl 0.5000 0.5000 0.0000  4 Sc 2.76, 8 Re 2.98
Re 0.2500 0.7500 0.5000  4 Re 2.76, 4 Tl 2.98, 4 Sc 2.98
Re 0.7500 0.2500 0.5000  4 Re 2.76, 4 Tl 2.98, 4 Sc 2.98



# 8
DFT (PBEsol) results for crystalline ScTlRe at its relaxed geometry.

- Final energy: -6.61 eV per atom
- Space-group type: F-43m, No. 216
- E_form: 0.91 eV/atom
- D(E_F): 4.33 states/eV/f.u.

Lattice parameters (Å, degrees): 4.5096 4.5096 4.5096 60.00 60.00 60.00
Last column: nearest neighbours and their distance in Å.
Fractional positions:
Sc 0.0000 0.0000 0.0000  4 Tl 2.76
Tl 0.7500 0.7500 0.7500  4 Re 2.76, 4 Sc 2.76
Re 0.5000 0.5000 0.5000  4 Tl 2.76